Record 1
The following is a DFT calculation (PBE) of La4Y3ScSe8 after structural relaxation.

```
La4Y3ScSe8
1.0
4.146 2.394 6.917
-4.146 2.394 6.917
0.000 -4.787 6.917
La Y Sc Se
4 3 1 8
direct
0.000 0.000 0.000
0.000 0.500 0.500
0.500 0.000 0.500
0.500 0.500 0.000
0.000 0.000 0.500
0.000 0.500 0.000
0.500 0.000 0.000
0.500 0.500 0.500
0.244 0.244 0.244
0.250 0.738 0.738
0.262 0.262 0.750
0.262 0.750 0.262
0.738 0.250 0.738
0.738 0.738 0.250
0.750 0.262 0.262
0.756 0.756 0.756
```

Calculated values
Raw total energy: -103.0 eV per formula unit
Uncorrected formation energy: -1.855 eV/atom
SG: No. 166

***

Record 2
The following is a DFT calculation (PBE) of La3YSc3Se8 after structural relaxation.

```
La3YSc3Se8
1.0
4.029 2.326 6.829
-4.029 2.326 6.829
0.000 -4.652 6.829
La Y Sc Se
3 1 3 8
direct
0.000 0.500 0.500
0.500 0.000 0.500
0.500 0.500 0.000
0.500 0.500 0.500
0.000 0.000 0.500
0.000 0.500 0.000
0.500 0.000 0.000
0.227 0.752 0.752
0.239 0.239 0.239
0.248 0.248 0.773
0.248 0.773 0.248
0.752 0.227 0.752
0.752 0.752 0.227
0.761 0.761 0.761
0.773 0.248 0.248
```

Calculated values
Raw total energy: -95.6 eV per formula unit
Uncorrected formation energy: -1.834 eV/atom
SG: No. 166

***

Record 3
The following is a DFT calculation (PBE) of La2YScSe4 after structural relaxation.

```
La2YScSe4
1.0
7.114 0.000 0.000
0.000 4.084 0.000
-2.351 0.000 6.950
La Y Sc Se
2 1 1 4
direct
0.000 0.000 0.000
0.500 0.500 0.000
0.000 0.500 0.500
0.500 0.000 0.500
0.250 0.000 0.726
0.267 0.500 0.279
0.733 0.500 0.721
0.750 0.000 0.274
```

Calculated values
Raw total energy: -51.2 eV per formula unit
Uncorrected formation energy: -1.827 eV/atom
SG: No. 10